VASP calculation (GGA+U) on a relaxed structure of CrNi2SnO6.

a = 5.1530 Å, b = 5.1529 Å, c = 5.5085 Å
α = 62.15°, β = 62.16°, γ = 59.96°
Last column: nearest neighbours and their distance in Å.
Fractional positions:
Cr 0.8182 0.8179 0.5458  6 O 2.02-2.05
Ni 0.5141 0.5140 0.4579  6 O 2.01-2.07
Ni 0.0177 0.0178 0.9468  6 O 2.02-2.09
Sn 0.3121 0.3124 0.0630  6 O 2.05-2.15
O 0.6231 0.2184 0.2534  2 Ni 2.01-2.09, 1 Cr 2.05, 1 Sn 2.05
O 0.2183 0.9052 0.2533  2 Ni 2.02-2.09, 1 Cr 2.05, 1 Sn 2.05
O 0.9053 0.6231 0.2535  2 Ni 2.02-2.09, 1 Cr 2.05, 1 Sn 2.05
O 0.4172 0.7229 0.7469  2 Ni 2.02-2.06, 1 Cr 2.03, 1 Sn 2.15
O 0.7230 0.1128 0.7472  2 Ni 2.02-2.07, 1 Cr 2.03, 1 Sn 2.15
O 0.1125 0.4172 0.7474  2 Ni 2.02-2.07, 1 Cr 2.02, 1 Sn 2.15

E ... -5.991 eV/atom
Spin magnetization ... 0.019 μB/cell

VASP calculation (GGA+U) on a relaxed structure of SrTmW2O8.

a = 5.3027 Å, b = 5.3027 Å, c = 8.3192 Å
α = 71.42°, β = 71.42°, γ = 60.00°
Last column: nearest neighbours and their distance in Å.
Fractional positions:
Sr 0.0000 0.0000 0.0000  12 O 3.02-3.07
Tm 0.5000 0.5000 0.5000  6 O 2.25
W 0.7518 0.7518 0.7445  4 O 1.82-1.85
W 0.2482 0.2482 0.2555  4 O 1.82-1.85
O 0.6734 0.6734 0.9798  1 W 1.82
O 0.3266 0.3266 0.0202  1 W 1.82
O 0.5643 0.2295 0.3174  1 W 1.85
O 0.7705 0.4357 0.6826  1 W 1.85
O 0.1112 0.7705 0.6826  1 W 1.85
O 0.2295 0.8888 0.3174  1 W 1.85
O 0.8888 0.5643 0.3174  1 W 1.85
O 0.4357 0.1112 0.6826  1 W 1.85

E ... -7.276 eV/atom
Spin magnetization ... 1.001 μB/cell

VASP calculation (GGA+U) on a relaxed structure of Ca3MoO6.

a = 6.5909 Å, b = 6.5909 Å, c = 6.5909 Å
α = 91.61°, β = 91.61°, γ = 91.61°
Last column: nearest neighbours and their distance in Å.
Fractional positions:
Ca 0.4364 0.9326 0.7469  6 O 2.32-2.47
Ca 0.9326 0.7469 0.4364  6 O 2.32-2.47
Ca 0.2531 0.5636 0.0674  6 O 2.32-2.47
Ca 0.7469 0.4364 0.9326  6 O 2.32-2.47
Ca 0.0674 0.2531 0.5636  6 O 2.32-2.47
Ca 0.5636 0.0674 0.2531  6 O 2.32-2.47
Mo 0.0000 0.0000 0.0000  6 O 1.96
Mo 0.5000 0.5000 0.5000  6 O 1.96
O 0.2830 0.9381 0.0681  1 Mo 1.96
O 0.0619 0.9319 0.7170  1 Mo 1.96
O 0.5779 0.7828 0.4526  1 Mo 1.96
O 0.9319 0.7170 0.0619  1 Mo 1.96
O 0.4526 0.5779 0.7828  1 Mo 1.96
O 0.2172 0.5474 0.4221  1 Mo 1.96
O 0.7828 0.4526 0.5779  1 Mo 1.96
O 0.5474 0.4221 0.2172  1 Mo 1.96
O 0.0681 0.2830 0.9381  1 Mo 1.96
O 0.4221 0.2172 0.5474  1 Mo 1.96
O 0.9381 0.0681 0.2830  1 Mo 1.96
O 0.7170 0.0619 0.9319  1 Mo 1.96

E ... -6.872 eV/atom
Spin magnetization ... 0.000 μB/cell